First-principles (PBE) data for a relaxed structure of Rb2CrBr6N, as listed in Alexandria.

Results
- Calculated volume: 29.85 A^3/atom
- Total magnetization: 6.0 μB/cell
- Formation energy (no corrections): -0.4743 eV/atom

CIF file:
```
data_Rb2CrBr6N
_chemical_formula_sum 'Rb4 Cr2 Br12 N2'
_symmetry_space_group_name_H-M 'I 4/m m m'
_symmetry_Int_Tables_number 139
_symmetry_space_group_name_Hall '-I 4 2'
_cell_length_a 7.088
_cell_length_b 7.088
_cell_length_c 11.880
_cell_angle_alpha 90.00
_cell_angle_beta 90.00
_cell_angle_gamma 90.00
loop_
_atom_site_label
_atom_site_fract_x
_atom_site_fract_y
_atom_site_fract_z
_atom_site_occupancy
Rb1 0.000 0.500 0.250 1
Cr1 0.000 0.000 0.000 1
Br1 0.000 0.000 0.211 1
Br2 0.238 0.238 0.500 1
N1 0.000 0.000 0.500 1
```